Material: NaCd6Pd2
Method: DFT, GGA-PBE
State: optimized geometry

- Polymorph energy (0 for the lowest one): 0 meV/atom
- Formation energy from the elements: -192 meV/atom

a b c (Å): 12.6307 3.0747 10.4300
angles (deg): 90.00 110.60 90.00
With the nearest neighbours (Å) after each atom.
Space group C2/m (No. 12)
Inequivalent atoms, fractional coordinates:
Na  0.0000  0.0000  0.0000 [2 per cell]  2 Na 3.07, 4 Cd 3.18-3.19, 4 Pd 3.27
Cd  0.0155  0.0000  0.7020 [4 per cell]  2 Pd 2.80, 6 Cd 3.07-3.13
Cd  0.1546  0.5000  0.5467 [4 per cell]  3 Pd 2.85-2.87, 7 Cd 3.07-3.18
Cd  0.2303  0.5000  0.8710 [4 per cell]  2 Pd 2.83, 6 Cd 2.98-3.08
Pd  0.1623  0.5000  0.2753 [4 per cell]  7 Cd 2.80-2.87, 2 Pd 3.07